1.
This record from the Alexandria database describes crystalline AlAgPdAu2 at its relaxed geometry. The functional is GGA-PBE.

The structure in CIF format:
```
data_AlAgPdAu2
_chemical_formula_sum 'Al1 Ag1 Pd1 Au2'
_space_group_name_H-M_alt 'P 4/m m m'
_space_group_IT_number 123
_space_group_name_Hall '-P 4 2'
_cell_length_a 5.1202
_cell_length_b 5.1202
_cell_length_c 4.5331
_cell_angle_alpha 90.00
_cell_angle_beta 90.00
_cell_angle_gamma 90.00
loop_
_atom_site_label
_atom_site_type_symbol
_atom_site_fract_x
_atom_site_fract_y
_atom_site_fract_z
Al1 Al 0.0000 0.0000 0.0000
Ag1 Ag 0.5000 0.5000 0.0000
Pd1 Pd 0.0000 0.0000 0.5000
Au1 Au 0.0000 0.5000 0.5000
```

electronic total energy	-3.25	eV/atom
magnetic moment	0.00	μB/atom
formation energy	0.42	eV/atom
Fermi-level density of states	0.3934	states/eV/atom

=====

2.
This record from the Alexandria database describes crystalline PmAl4Ag2Au at its relaxed geometry. The functional is GGA-PBE.

The structure in CIF format:
```
data_PmAl4Ag2Au
_chemical_formula_sum 'Pm3 Al12 Ag6 Au3'
_space_group_name_H-M_alt 'R -3 m'
_space_group_IT_number 166
_space_group_name_Hall '-R 3 2"'
_cell_length_a 4.4293
_cell_length_b 4.4293
_cell_length_c 27.2683
_cell_angle_alpha 90.00
_cell_angle_beta 90.00
_cell_angle_gamma 120.00
loop_
_atom_site_label
_atom_site_type_symbol
_atom_site_fract_x
_atom_site_fract_y
_atom_site_fract_z
Pm1 Pm 0.0000 0.0000 0.0000
Al1 Al 0.0000 0.0000 0.1256
Al2 Al 0.0000 0.0000 0.4012
Ag1 Ag 0.0000 0.0000 0.2484
Au1 Au 0.0000 0.0000 0.5000
```

electronic total energy	-3.87	eV/atom
magnetic moment	0.00	μB/atom
formation energy	-0.28	eV/atom
Fermi-level density of states	0.3592	states/eV/atom

=====

3.
This record from the Alexandria database describes crystalline Pm2Al4Ag3Au at its relaxed geometry. The functional is GGA-PBE.

The structure in CIF format:
```
data_Pm2Al4Ag3Au
_chemical_formula_sum 'Pm2 Al4 Ag3 Au1'
_space_group_name_H-M_alt 'P -4 m 2'
_space_group_IT_number 115
_cell_length_a 4.3908
_cell_length_b 4.3908
_cell_length_c 10.7185
_cell_angle_alpha 90.00
_cell_angle_beta 90.00
_cell_angle_gamma 90.00
loop_
_space_group_symop_operation_xyz
'x,y,z'
'y,-x,-z'
'-x,-y,z'
'-y,x,-z'
'-x,y,z'
'-y,-x,-z'
'x,-y,z'
'y,x,-z'
loop_
_atom_site_label
_atom_site_type_symbol
_atom_site_fract_x
_atom_site_fract_y
_atom_site_fract_z
Pm1 Pm 0.0000 0.5000 0.2477
Al1 Al 0.0000 0.0000 0.5000
Al2 Al 0.0000 0.5000 0.8683
Al3 Al 0.5000 0.5000 0.5000
Ag1 Ag 0.0000 0.0000 0.0000
Ag2 Ag 0.0000 0.5000 0.6332
Au1 Au 0.5000 0.5000 0.0000
```

electronic total energy	-4.06	eV/atom
magnetic moment	0.00	μB/atom
formation energy	-0.43	eV/atom
Fermi-level density of states	0.5102	states/eV/atom

=====

4.
This record from the Alexandria database describes crystalline PmAl4AgAu2 at its relaxed geometry. The functional is GGA-PBE.

The structure in CIF format:
```
data_PmAl4AgAu2
_chemical_formula_sum 'Pm3 Al12 Ag3 Au6'
_space_group_name_H-M_alt 'R -3 m'
_space_group_IT_number 166
_space_group_name_Hall '-R 3 2"'
_cell_length_a 4.3871
_cell_length_b 4.3871
_cell_length_c 27.5012
_cell_angle_alpha 90.00
_cell_angle_beta 90.00
_cell_angle_gamma 120.00
loop_
_atom_site_label
_atom_site_type_symbol
_atom_site_fract_x
_atom_site_fract_y
_atom_site_fract_z
Pm1 Pm 0.0000 0.0000 0.0000
Al1 Al 0.0000 0.0000 0.1238
Al2 Al 0.0000 0.0000 0.4000
Ag1 Ag 0.0000 0.0000 0.5000
Au1 Au 0.0000 0.0000 0.2431
```

electronic total energy	-4.03	eV/atom
magnetic moment	0.00	μB/atom
formation energy	-0.39	eV/atom
Fermi-level density of states	0.2523	states/eV/atom

=====

5.
This record from the Alexandria database describes crystalline Pm2Al3AgAu4 at its relaxed geometry. The functional is GGA-PBE.

The structure in CIF format:
```
data_Pm2Al3AgAu4
_chemical_formula_sum 'Pm2 Al3 Ag1 Au4'
_space_group_name_H-M_alt 'P -4 m 2'
_space_group_IT_number 115
_cell_length_a 4.3660
_cell_length_b 4.3660
_cell_length_c 10.9902
_cell_angle_alpha 90.00
_cell_angle_beta 90.00
_cell_angle_gamma 90.00
loop_
_space_group_symop_operation_xyz
'x,y,z'
'y,-x,-z'
'-x,-y,z'
'-y,x,-z'
'-x,y,z'
'-y,-x,-z'
'x,-y,z'
'y,x,-z'
loop_
_atom_site_label
_atom_site_type_symbol
_atom_site_fract_x
_atom_site_fract_y
_atom_site_fract_z
Pm1 Pm 0.0000 0.5000 0.2444
Al1 Al 0.0000 0.5000 0.8749
Al2 Al 0.5000 0.5000 0.5000
Ag1 Ag 0.0000 0.0000 0.5000
Au1 Au 0.0000 0.0000 0.0000
Au2 Au 0.0000 0.5000 0.6495
Au3 Au 0.5000 0.5000 0.0000
```

electronic total energy	-4.28	eV/atom
magnetic moment	0.00	μB/atom
formation energy	-0.61	eV/atom
Fermi-level density of states	0.5348	states/eV/atom

=====

6.
This record from the Alexandria database describes crystalline PmAl2AgAu2 at its relaxed geometry. The functional is GGA-PBE.

The structure in CIF format:
```
data_PmAl2AgAu2
_chemical_formula_sum 'Pm1 Al2 Ag1 Au2'
_space_group_name_H-M_alt 'P -3 m 1'
_space_group_IT_number 164
_space_group_name_Hall '-P 3 2"'
_cell_length_a 4.4685
_cell_length_b 4.4685
_cell_length_c 6.9292
_cell_angle_alpha 90.00
_cell_angle_beta 90.00
_cell_angle_gamma 120.00
loop_
_atom_site_label
_atom_site_type_symbol
_atom_site_fract_x
_atom_site_fract_y
_atom_site_fract_z
Pm1 Pm 0.0000 0.0000 0.0000
Al1 Al 0.3333 0.6667 0.6765
Ag1 Ag 0.0000 0.0000 0.5000
Au1 Au 0.3333 0.6667 0.2685
```

electronic total energy	-4.17	eV/atom
magnetic moment	0.00	μB/atom
formation energy	-0.57	eV/atom
Fermi-level density of states	0.5482	states/eV/atom

=====

7.
This record from the Alexandria database describes crystalline PmAlAgAu at its relaxed geometry. The functional is GGA-PBE.

The structure in CIF format:
```
data_PmAlAgAu
_chemical_formula_sum 'Pm4 Al4 Ag4 Au4'
_space_group_name_H-M_alt 'F -4 3 m'
_space_group_IT_number 216
_space_group_name_Hall 'F -4 2 3'
_cell_length_a 6.9470
_cell_length_b 6.9470
_cell_length_c 6.9470
_cell_angle_alpha 90.00
_cell_angle_beta 90.00
_cell_angle_gamma 90.00
loop_
_atom_site_label
_atom_site_type_symbol
_atom_site_fract_x
_atom_site_fract_y
_atom_site_fract_z
Pm1 Pm 0.0000 0.0000 0.0000
Al1 Al 0.0000 0.0000 0.5000
Ag1 Ag 0.2500 0.2500 0.2500
Au1 Au 0.2500 0.2500 0.7500
```

electronic total energy	-4.15	eV/atom
magnetic moment	0.00	μB/atom
formation energy	-0.49	eV/atom
Fermi-level density of states	0.5307	states/eV/atom

=====

8.
This record from the Alexandria database describes crystalline PrAlAg2Au4 at its relaxed geometry. The functional is GGA-PBE.

The structure in CIF format:
```
data_PrAlAg2Au4
_chemical_formula_sum 'Pr3 Al3 Ag6 Au12'
_space_group_name_H-M_alt 'R -3 m'
_space_group_IT_number 166
_space_group_name_Hall '-R 3 2"'
_cell_length_a 4.8276
_cell_length_b 4.8276
_cell_length_c 23.5163
_cell_angle_alpha 90.00
_cell_angle_beta 90.00
_cell_angle_gamma 120.00
loop_
_atom_site_label
_atom_site_type_symbol
_atom_site_fract_x
_atom_site_fract_y
_atom_site_fract_z
Pr1 Pr 0.0000 0.0000 0.0000
Al1 Al 0.0000 0.0000 0.5000
Ag1 Ag 0.0000 0.0000 0.2556
Au1 Au 0.0000 0.0000 0.1348
Au2 Au 0.0000 0.0000 0.3909
```

electronic total energy	-3.77	eV/atom
magnetic moment	0.00	μB/atom
formation energy	-0.35	eV/atom
Fermi-level density of states	0.2698	states/eV/atom

=====

9.
This record from the Alexandria database describes crystalline PrAl3AgAu at its relaxed geometry. The functional is GGA-PBE.

The structure in CIF format:
```
data_PrAl3AgAu
_chemical_formula_sum 'Pr4 Al12 Ag4 Au4'
_space_group_name_H-M_alt 'C m c m'
_space_group_IT_number 63
_space_group_name_Hall '-C 2c 2'
_cell_length_a 6.2309
_cell_length_b 13.1716
_cell_length_c 6.0625
_cell_angle_alpha 90.00
_cell_angle_beta 90.00
_cell_angle_gamma 90.00
loop_
_atom_site_label
_atom_site_type_symbol
_atom_site_fract_x
_atom_site_fract_y
_atom_site_fract_z
Pr1 Pr 0.0000 0.2001 0.2500
Al1 Al 0.0000 0.3634 0.7500
Al2 Al 0.2066 0.0000 0.0000
Ag1 Ag 0.0000 0.4181 0.2500
Au1 Au 0.0000 0.1555 0.7500
```

electronic total energy	-3.92	eV/atom
magnetic moment	0.00	μB/atom
formation energy	-0.23	eV/atom
Fermi-level density of states	0.5436	states/eV/atom

=====

10.
This record from the Alexandria database describes crystalline PrAlAgAu at its relaxed geometry. The functional is GGA-PBE.

The structure in CIF format:
```
data_PrAlAgAu
_chemical_formula_sum 'Pr4 Al4 Ag4 Au4'
_space_group_name_H-M_alt 'F -4 3 m'
_space_group_IT_number 216
_space_group_name_Hall 'F -4 2 3'
_cell_length_a 7.0213
_cell_length_b 7.0213
_cell_length_c 7.0213
_cell_angle_alpha 90.00
_cell_angle_beta 90.00
_cell_angle_gamma 90.00
loop_
_atom_site_label
_atom_site_type_symbol
_atom_site_fract_x
_atom_site_fract_y
_atom_site_fract_z
Pr1 Pr 0.0000 0.0000 0.0000
Al1 Al 0.0000 0.0000 0.5000
Ag1 Ag 0.2500 0.2500 0.7500
Au1 Au 0.2500 0.2500 0.2500
```

electronic total energy	-4.12	eV/atom
magnetic moment	0.00	μB/atom
formation energy	-0.46	eV/atom
Fermi-level density of states	0.5775	states/eV/atom

=====

What did we get for calculated volume? Answer: 23.77, 19.30, 20.66, 19.10, 20.95, 19.97, 20.95, 19.78, 20.73, 21.63 A^3/atom, in the order shown.